ErBeSi2Ni4: optimized geometry, PBE.

abc: 3.8712 3.8712 8.2209
angles: 76.38 76.38 60.00
Element x y z (fractional)
Ni 0.1367 0.1367 0.5899
Ni 0.8633 0.8633 0.4101
Ni 0.5898 0.5898 0.2305
Ni 0.4102 0.4102 0.7695
Be 0.5000 0.5000 0.5000
Si 0.7608 0.7608 0.7176
Si 0.2392 0.2392 0.2824
Er 0.0000 0.0000 0.0000

Energy relative to the elements, uncorrected, eV per atom: -0.62
Space group: R-3m (166)

***

Er2BeSiNi6: optimized geometry, PBE.

abc: 5.9052 5.9052 5.9052
angles: 60.00 60.00 90.00
Element x y z (fractional)
Be 0.5000 0.5000 0.0000
Ni 0.2604 0.2604 0.4791
Ni 0.7396 0.7396 0.0000
Ni 0.7396 0.7396 0.5209
Ni 0.2604 0.7396 0.0000
Ni 0.7396 0.2604 0.0000
Ni 0.2604 0.2604 0.0000
Er 0.2500 0.7500 0.5000
Er 0.7500 0.2500 0.5000
Si 0.0000 0.0000 0.0000

Energy relative to the elements, uncorrected, eV per atom: -0.29
Space group: Fm-3m (225)

***

ErBeSi2Ni: optimized geometry, PBE.

abc: 3.8476 3.8476 5.5854
angles: 110.15 110.15 90.00
Element x y z (fractional)
Si 0.3776 0.3776 0.7552
Si 0.6224 0.6224 0.2448
Er 0.0000 0.0000 0.0000
Ni 0.7500 0.2500 0.5000
Be 0.2500 0.7500 0.5000

Energy relative to the elements, uncorrected, eV per atom: -0.69
Space group: I-4m2 (119)

***

Er2BeSi3Ni12: optimized geometry, PBE.

abc: 8.3109 8.3109 8.3109
angles: 43.53 43.53 43.53
Element x y z (fractional)
Ni 0.0733 0.6591 0.0733
Ni 0.6591 0.0733 0.0733
Ni 0.0733 0.0733 0.6591
Ni 0.8162 0.4125 0.4125
Ni 0.5875 0.1838 0.5875
Ni 0.4125 0.8162 0.4125
Ni 0.1838 0.5875 0.5875
Ni 0.9267 0.3409 0.9267
Ni 0.4125 0.4125 0.8162
Ni 0.5875 0.5875 0.1838
Ni 0.3409 0.9267 0.9267
Ni 0.9267 0.9267 0.3409
Er 0.6546 0.6546 0.6546
Er 0.3454 0.3454 0.3454
Si 0.0000 0.0000 0.5000
Si 0.5000 0.0000 0.0000
Si 0.0000 0.5000 0.0000
Be 0.0000 0.0000 0.0000

Energy relative to the elements, uncorrected, eV per atom: -0.16
Space group: R-3m (166)

***

Er2Be3Si4Ni: optimized geometry, PBE.

abc: 3.8574 3.8574 9.5748
angles: 90.00 90.00 90.00
Element x y z (fractional)
Si 0.0000 0.0000 0.0000
Si 0.5000 0.5000 0.0000
Si 0.5000 0.0000 0.6320
Si 0.0000 0.5000 0.3680
Er 0.0000 0.5000 0.7483
Er 0.5000 0.0000 0.2517
Be 0.5000 0.0000 0.8653
Be 0.0000 0.0000 0.5000
Be 0.0000 0.5000 0.1347
Ni 0.5000 0.5000 0.5000

Energy relative to the elements, uncorrected, eV per atom: -0.51
Space group: P-4m2 (115)

***

SmErBeNi: optimized geometry, PBE.

abc: 4.8329 4.8329 4.8329
angles: 60.00 60.00 60.00
Element x y z (fractional)
Er 0.7500 0.7500 0.7500
Ni 0.0000 0.0000 0.0000
Be 0.5000 0.5000 0.5000
Sm 0.2500 0.2500 0.2500

Space group: F-43m (216)
ΔH_f (0 K), eV per atom: -0.10

***

ErTmBeNi: optimized geometry, PBE.

abc: 4.7383 4.7383 4.7383
angles: 60.00 60.00 60.00
Element x y z (fractional)
Be 0.7500 0.7500 0.7500
Ni 0.2500 0.2500 0.2500
Tm 0.5000 0.5000 0.5000
Er 0.0000 0.0000 0.0000

Space group: F-43m (216)
ΔH_f (0 K), eV per atom: -0.18

***

YErBeNi: optimized geometry, PBE.

abc: 4.7840 4.7840 4.7840
angles: 60.00 60.00 60.00
Element x y z (fractional)
Y 0.7500 0.7500 0.7500
Be 0.5000 0.5000 0.5000
Ni 0.0000 0.0000 0.0000
Er 0.2500 0.2500 0.2500

Space group: F-43m (216)
ΔH_f (0 K), eV per atom: -0.15

***

Er2Be2ZnNi5: optimized geometry, PBE.

abc: 3.3263 8.9554 8.9554
angles: 90.00 90.00 90.00
Element x y z (fractional)
Ni 0.5000 0.2192 0.0645
Ni 0.5000 0.4355 0.2808
Ni 0.5000 0.7192 0.4355
Ni 0.5000 0.9355 0.2192
Ni 0.5000 0.5000 0.0000
Ni 0.5000 0.0645 0.7808
Ni 0.5000 0.2808 0.5645
Ni 0.5000 0.0000 0.5000
Ni 0.5000 0.7808 0.9355
Ni 0.5000 0.5645 0.7192
Zn 0.0000 0.0000 0.0000
Zn 0.0000 0.5000 0.5000
Er 0.0000 0.6816 0.1816
Er 0.0000 0.1816 0.3184
Er 0.0000 0.8184 0.6816
Er 0.0000 0.3184 0.8184
Be 0.0000 0.6123 0.8877
Be 0.0000 0.1123 0.6123
Be 0.0000 0.8877 0.3877
Be 0.0000 0.3877 0.1123

Space group: P4/mbm (127)
ΔH_f (0 K), eV per atom: -0.39

***

ErZrBeNi: optimized geometry, PBE.

abc: 4.6412 4.6412 4.6412
angles: 60.00 60.00 60.00
Element x y z (fractional)
Ni 0.2500 0.2500 0.2500
Zr 0.5000 0.5000 0.5000
Er 0.0000 0.0000 0.0000
Be 0.7500 0.7500 0.7500

Space group: F-43m (216)
ΔH_f (0 K), eV per atom: -0.10

***

Er2BeO4: optimized geometry, PBE.

abc: 3.4612 5.9334 5.2880
angles: 99.70 109.10 90.00
Element x y z (fractional)
O 0.6594 0.3543 0.3188
O 0.8727 0.0855 0.7453
O 0.1273 0.9145 0.2547
O 0.3406 0.6457 0.6812
Be 0.0000 0.0000 0.0000
Er 0.7180 0.7251 0.4361
Er 0.2820 0.2749 0.5639

Energy relative to the elements, uncorrected, eV per atom: -3.08
Space group: C2/m (12)

***

Er3BeO: optimized geometry, PBE.

abc: 4.6253 4.6253 4.6253
angles: 90.00 90.00 90.00
Element x y z (fractional)
O 0.0000 0.0000 0.0000
Er 0.5000 0.0000 0.0000
Er 0.0000 0.5000 0.0000
Er 0.0000 0.0000 0.5000
Be 0.5000 0.5000 0.5000

Energy relative to the elements, uncorrected, eV per atom: -1.05
Space group: Pm-3m (221)

***

The evaluated M_tot for the records listed, in turn: 0.000, 0.000, 0.000, 0.000, 0.000, 0.000, 0.000, 0.000, 0.000, 0.000, 0.000, 0.000 μB per atom.
The evaluated Fermi-level density of states for the records listed, in turn: 3.29, 7.91, 1.25, 7.72, 2.75, 2.68, 2.56, 2.66, 7.87, 3.48, 0.00, 2.56 states/eV/cell.